# Ca8PtPb2

An optimized crystal structure of Ca8PtPb2 (GGA-PBE, Alexandria via LeMat-Bulk).

The space group is C2/m (No. 12) and the conventional cell measures 18.933, 5.401 and 7.260 Å, with angles of 90.00, 109.28 and 90.00 degrees. The asymmetric unit holds Ca at (0.020, 0.000, 0.295), Ca at (0.094, 0.500, 0.915), Ca at (0.146, 0.500, 0.442), Ca at (0.205, 0.000, 0.782), Pt at (0.000, 0.500, 0.500) and Pb at (0.183, 0.000, 0.206).

Its total energy is -69.672 eV per cell. The value obtained for the energy of formation from the pure elements is -47.1 kJ/mol of atoms.